Record 1
Material: Ba2BeGa2
Method: DFT, PBE-GGA
State: relaxed

Summary:
Its total energy is -2.62 eV per atom. Its magnetic moment is 0.00 μB per cell. The formation energy comes out at 0.50 eV/f.u.

Unit cell a=7.110 b=7.110 c=5.435 alpha=90.00 beta=90.00 gamma=90.00
Space group P4/mbm (No. 127)
Inequivalent atoms, fractional coordinates:
1 Ba 0.176 0.324 0.000 x4
2 Be 0.000 0.000 0.500 x2
3 Ga 0.138 0.638 0.500 x4

Record 2
Material: RbPIr2
Method: DFT, PBE-GGA
State: relaxed

Summary:
Its total energy is -6.32 eV per atom. Its magnetic moment is 0.00 μB per cell. The formation energy comes out at -1.17 eV/f.u.

Unit cell a=5.162 b=5.523 c=7.097 alpha=84.59 beta=69.44 gamma=77.27
Space group P-1 (No. 2)
Inequivalent atoms, fractional coordinates:
1 Rb 0.245 0.255 0.025 x2
2 P 0.091 0.754 0.311 x2
3 Ir 0.272 0.926 0.514 x2
4 Ir 0.285 0.427 0.487 x2

Record 3
Material: LaSn4Sb
Method: DFT, PBE-GGA
State: relaxed

Summary:
The uncorrected formation energy comes out at -1.4 eV per formula unit. Its total energy is -4.42 eV per atom. Its magnetic moment is 0.00 μB per cell.

Unit cell a=8.786 b=8.786 c=8.786 alpha=90.00 beta=90.00 gamma=90.00
Space group F-43m (No. 216)
Inequivalent atoms, fractional coordinates:
1 La 0.000 0.000 0.000 x4
2 Sn 0.125 0.125 0.375 x16
3 Sb 0.250 0.250 0.750 x4

Record 4
Material: Tb5Ho12Th2
Method: DFT, PBE-GGA
State: relaxed

Summary:
The energy above the lowest structure with this stoichiometry comes out at 0 meV/atom. Its total energy is -4.77 eV per atom. Its magnetic moment is 0.00 μB per cell. The formation energy comes out at 2.30 eV/f.u.

Unit cell a=6.062 b=9.585 c=11.261 alpha=69.95 beta=82.09 gamma=88.84
Space group P-1 (No. 2)
Inequivalent atoms, fractional coordinates:
1 Tb 0.000 0.000 0.000 x1
2 Tb 0.107 0.956 0.342 x2
3 Tb 0.493 0.551 0.831 x2
4 Ho 0.037 0.688 0.655 x2
5 Ho 0.079 0.312 0.045 x2
6 Ho 0.175 0.321 0.725 x2
7 Ho 0.379 0.911 0.786 x2
8 Ho 0.422 0.816 0.102 x2
9 Ho 0.429 0.188 0.485 x2
10 Th 0.276 0.566 0.420 x2

Record 5
Material: Zn2HgRuPb
Method: DFT, PBE-GGA
State: relaxed

Summary:
Its total energy is -2.74 eV per atom. Its magnetic moment is 0.00 μB per cell. The formation energy comes out at 2.13 eV/f.u.

Unit cell a=4.823 b=4.823 c=5.225 alpha=90.00 beta=90.00 gamma=90.00
Space group P4/mmm (No. 123)
Inequivalent atoms, fractional coordinates:
1 Zn 0.000 0.500 0.000 x2
2 Hg 0.000 0.000 0.500 x1
3 Ru 0.000 0.000 0.000 x1
4 Pb 0.500 0.500 0.500 x1

Record 6
Material: Ce4SnPb5
Method: DFT, PBE-GGA
State: relaxed

Summary:
The energy above the lowest structure with this stoichiometry comes out at 38 meV/atom. Its total energy is -4.96 eV per atom. Its magnetic moment is 5.17 μB per cell. The formation energy comes out at -3.32 eV/f.u.

Unit cell a=11.059 b=12.311 c=4.621 alpha=90.00 beta=90.00 gamma=90.00
Space group Pmmn (No. 59, origin choice 2)
Inequivalent atoms, fractional coordinates:
1 Ce 0.046 0.250 0.249 x4
2 Ce 0.250 0.003 0.751 x4
3 Sn 0.250 0.750 0.750 x2
4 Pb 0.066 0.580 0.250 x8
5 Pb 0.250 0.250 0.749 x2

Record 7
Material: LaY2Ho6Tm3
Method: DFT, PBE-GGA
State: relaxed

Summary:
Its total energy is -4.87 eV per atom. Its magnetic moment is 0.00 μB per cell. The formation energy comes out at 0.32 eV/f.u.

Unit cell a=6.136 b=10.619 c=11.750 alpha=90.00 beta=99.99 gamma=90.00
Space group C2/m (No. 12)
Inequivalent atoms, fractional coordinates:
1 La 0.000 0.000 0.000 x2
2 Y 0.000 0.333 0.000 x4
3 Ho 0.247 0.333 0.745 x8
4 Ho 0.248 0.000 0.745 x4
5 Tm 0.000 0.167 0.500 x4
6 Tm 0.000 0.500 0.500 x2

Record 8
Material: In2CuO2
Method: DFT, PBE-GGA
State: relaxed

Summary:
The energy above the lowest structure with this stoichiometry comes out at 96 meV/atom. The uncorrected formation energy comes out at -2.2 eV per formula unit. Its total energy is -4.33 eV per atom. Its magnetic moment is 0.00 μB per cell.

Unit cell a=6.462 b=6.462 c=3.693 alpha=90.00 beta=90.00 gamma=90.00
Space group P4/mbm (No. 127)
Inequivalent atoms, fractional coordinates:
1 In 0.154 0.346 0.000 x4
2 Cu 0.000 0.000 0.500 x2
3 O 0.221 0.721 0.500 x4

Record 9
Material: OsAuCl2
Method: DFT, PBE-GGA
State: relaxed

Summary:
The energy above the lowest structure with this stoichiometry comes out at 188 meV/atom. The uncorrected formation energy comes out at 1.6 eV per formula unit. Its total energy is -4.14 eV per atom. Its magnetic moment is 0.00 μB per cell.

Unit cell a=2.869 b=5.407 c=11.058 alpha=90.00 beta=90.00 gamma=90.00
Space group Cmmm (No. 65)
Inequivalent atoms, fractional coordinates:
1 Os 0.000 0.000 0.000 x2
2 Au 0.000 0.000 0.500 x2
3 Cl 0.000 0.500 0.171 x4

Record 10
Material: Ho6Pd12Au
Method: DFT, PBE-GGA
State: relaxed

Summary:
Its total energy is -5.65 eV per atom. Its magnetic moment is 0.00 μB per cell. The formation energy comes out at -14.29 eV/f.u.

Unit cell a=10.6961 b=10.6961 c=11.2646 alpha=90.00 beta=90.00 gamma=120.00
Space group R-3 (No. 148, hexagonal axes)
Inequivalent atoms, fractional coordinates:
1 Ho 0.0127 0.4301 0.2408 x18
2 Pd 0.0598 0.1909 0.3201 x18
3 Pd 0.0615 0.8833 0.8928 x18
4 Au 0.0000 0.0000 0.5000 x3

Record 11
Material: TbSm6Tl3
Method: DFT, PBE-GGA
State: relaxed

Summary:
Its total energy is -4.10 eV per atom. Its magnetic moment is 0.00 μB per cell. The formation energy comes out at -0.94 eV/f.u.

Unit cell a=10.618 b=15.763 c=7.823 alpha=90.00 beta=90.00 gamma=90.00
Space group Cmc2_1 (No. 36)
Inequivalent atoms, fractional coordinates:
1 Tb 0.000 0.198 0.000 x4
2 Sm 0.000 0.045 0.707 x4
3 Sm 0.000 0.301 0.558 x4
4 Sm 0.232 0.313 0.209 x8
5 Sm 0.235 0.466 0.521 x8
6 Tl 0.000 0.449 0.239 x4
7 Tl 0.150 0.135 0.349 x8

Record 12
Material: NaPOsPt
Method: DFT, PBE-GGA
State: relaxed

Summary:
Its total energy is -6.12 eV per atom. Its magnetic moment is 0.00 μB per cell. The formation energy comes out at -0.48 eV/f.u.

Unit cell a=3.821 b=3.821 c=10.817 alpha=90.00 beta=90.00 gamma=90.00
Space group P4/nmm (No. 129, origin choice 2)
Inequivalent atoms, fractional coordinates:
1 Na 0.250 0.250 0.222 x2
2 P 0.250 0.250 0.628 x2
3 Os 0.250 0.750 0.500 x2
4 Pt 0.250 0.750 0.000 x2